The following is a DFT calculation (GGA-PBE) of a relaxed Al2AsBr crystal.

Computed properties:
E_form (uncorrected)   -0.58 eV per formula unit
DFT total energy   -43.16 eV per cell
E above lowest polymorph   57 meV/atom
D(E_F)   7.4 states/eV/cell

Cell: 3.6511 3.6511 26.1543 Å, 90.00 90.00 120.00°
Space group R3m (No. 160, hexagonal axes)
Inequivalent atoms, fractional coordinates:
Al1 0.0000 0.0000 0.0000 (multiplicity 3)
Al2 0.0000 0.0000 0.2586 (multiplicity 3)
As1 0.0000 0.0000 0.5415 (multiplicity 3)
Br1 0.0000 0.0000 0.7321 (multiplicity 3)



The following is a DFT calculation (GGA-PBE) of a relaxed AlAsBr crystal.

Computed properties:
E_form (uncorrected)   -0.52 eV per formula unit
DFT total energy   -10.58 eV per cell
E above lowest polymorph   273 meV/atom
D(E_F)   2.1 states/eV/cell

Cell: 3.9965 3.9965 5.2936 Å, 90.00 90.00 120.00°
Space group P3m1 (No. 156)
Inequivalent atoms, fractional coordinates:
Al1 0.0000 0.0000 0.0000 (multiplicity 1)
As1 0.6667 0.3333 0.1639 (multiplicity 1)
Br1 0.3333 0.6667 0.6467 (multiplicity 1)



> Which of these has the lowest D(E_F)?

AlAsBr



> D(E_F) of number 2 (AlAsBr)?

2.1 states/eV/cell